This record from Alexandria describes an optimized crystal structure of CaScWO6. The functional is PBE with a Hubbard U.

Unit cell a=4.9643 b=4.9643 c=9.7674 alpha=90.00 beta=90.00 gamma=90.00
Fractional positions:
Ca 0.0000 0.0000 0.0000
Ca 0.5000 0.5000 0.5000
Sc 0.0000 0.0000 0.3362
Sc 0.5000 0.5000 0.8362
W 0.0000 0.0000 0.6627
W 0.5000 0.5000 0.1627
O 0.1777 0.1777 0.5115
O 0.2012 0.2012 0.8028
O 0.2233 0.2233 0.1853
O 0.2767 0.7233 0.6853
O 0.2988 0.7012 0.3028
O 0.3223 0.6777 0.0115
O 0.6777 0.3223 0.0115
O 0.7012 0.2988 0.3028
O 0.7233 0.2767 0.6853
O 0.7767 0.7767 0.1853
O 0.7988 0.7988 0.8028
O 0.8223 0.8223 0.5115

The total energy is -7.55 eV/atom. As for the volume: 120.4 Å³/f.u. The calculation puts the magnetic moment at 1.01 μB per formula unit.